No. 1
DFT (PBE) results for a relaxed Ta5Ti2Nb4 crystal.

Cell and atoms, written as extended XYZ:
```
11
Lattice="2.902 0.000 0.000 -0.176 7.972 0.000 -0.261 -0.561 8.967" Properties=species:S:1:pos:R:3 pbc="T T T"
Ta 0.000 0.000 0.000
Ta 0.608 2.354 4.413
Ta 0.505 6.095 6.751
Ta 1.961 1.316 2.216
Ta 1.857 5.057 4.554
Ti -0.016 4.037 2.233
Ti 2.482 3.374 6.734
Nb 0.661 6.764 2.598
Nb 0.715 2.095 8.859
Nb 1.750 5.316 0.109
Nb 1.804 0.648 6.369
```

Values from the calculation:
* symmetry: No. 2
* ΔH_f (0 K): 234 meV/atom
* E above lowest polymorph: 3 meV/atom

No. 2
DFT (PBE) results for a relaxed CrAgMo4 crystal.

Cell and atoms, written as extended XYZ:
```
6
Lattice="0.000 3.690 3.690 3.690 0.000 3.690 3.690 3.690 0.000" Properties=species:S:1:pos:R:3 pbc="T T T"
Cr 0.000 0.000 0.000
Ag 1.845 1.845 1.845
Mo 4.607 2.773 2.773
Mo 2.773 4.607 2.773
Mo 2.773 2.773 4.607
Mo 4.607 4.607 4.607
```

Values from the calculation:
* symmetry: No. 216
* ΔH_f (0 K): 578 meV/atom

No. 3
DFT (PBE) results for a relaxed CaPrNdHo crystal.

Cell and atoms, written as extended XYZ:
```
4
Lattice="3.674 0.000 0.000 0.000 3.674 0.000 0.000 0.000 10.556" Properties=species:S:1:pos:R:3 pbc="T T T"
Ca 0.000 0.000 0.000
Pr 1.837 1.837 2.820
Nd 1.837 1.837 7.758
Ho 0.000 0.000 5.305
```

Values from the calculation:
* symmetry: No. 99
* ΔH_f (0 K): 42 meV/atom
* E above lowest polymorph: 0 meV/atom

No. 4
DFT (PBE) results for a relaxed PuBe17V crystal.

Cell and atoms, written as extended XYZ:
```
19
Lattice="3.742 2.161 3.651 -3.742 2.161 3.651 0.000 -4.321 3.651" Properties=species:S:1:pos:R:3 pbc="T T T"
Pu 0.000 0.000 0.000
Be -1.109 -1.858 3.710
Be -2.164 -0.032 3.710
Be -1.843 -1.064 5.647
Be 0.000 0.000 2.697
Be 0.000 -2.150 5.549
Be -1.862 1.075 5.549
Be 1.109 -1.858 3.710
Be -1.055 1.890 3.710
Be 0.000 0.000 4.819
Be -1.838 -1.061 9.061
Be 2.164 -0.032 3.710
Be 1.055 1.890 3.710
Be 1.843 -1.064 5.647
Be 0.000 2.128 5.647
Be 1.862 1.075 5.549
Be 1.838 -1.061 9.061
Be 0.000 2.122 9.061
V 0.000 0.000 7.331
```

Values from the calculation:
* symmetry: No. 160
* ΔH_f (0 K): -44 meV/atom

No. 5
DFT (PBE) results for a relaxed Be2SiAs crystal.

Cell and atoms, written as extended XYZ:
```
4
Lattice="3.441 0.000 0.000 0.000 3.463 0.000 0.000 0.000 4.342" Properties=species:S:1:pos:R:3 pbc="T T T"
Be 0.000 0.000 0.000
Be 0.000 1.731 2.171
Si 1.720 0.000 2.171
As 1.720 1.731 0.000
```

Values from the calculation:
* symmetry: No. 47
* E_form (uncorrected): 11.7 kcal/mol of atoms
* E above lowest polymorph: 337 meV/atom

No. 6
DFT (PBE) results for a relaxed Ta3TlI crystal.

Cell and atoms, written as extended XYZ:
```
5
Lattice="5.172 0.000 0.000 0.000 5.172 0.000 0.000 0.000 5.172" Properties=species:S:1:pos:R:3 pbc="T T T"
Ta 0.000 0.000 2.586
Ta 0.000 2.586 0.000
Ta 2.586 0.000 0.000
Tl 0.000 0.000 0.000
I 2.586 2.586 2.586
```

Values from the calculation:
* symmetry: No. 221
* E_form (uncorrected): 57.2 kcal/mol of atoms
* E above lowest polymorph: 437 meV/atom

No. 7
DFT (PBE) results for a relaxed Ac2PS crystal.

Cell and atoms, written as extended XYZ:
```
4
Lattice="3.734 0.000 0.000 0.000 3.734 0.000 0.000 0.000 7.482" Properties=species:S:1:pos:R:3 pbc="T T T"
Ac 0.000 0.000 1.811
Ac 0.000 0.000 5.671
P 1.867 1.867 0.000
S 1.867 1.867 3.741
```

Values from the calculation:
* symmetry: No. 123
* E_form (uncorrected): -33.5 kcal/mol of atoms
* E above lowest polymorph: 351 meV/atom

No. 8
DFT (PBE) results for a relaxed La4Os3 crystal.

Cell and atoms, written as extended XYZ:
```
7
Lattice="5.437 0.000 0.000 -2.719 4.709 0.000 0.000 0.000 6.363" Properties=species:S:1:pos:R:3 pbc="T T T"
La 0.000 0.000 1.517
La 0.000 0.000 4.846
La 0.000 3.139 3.181
La 2.719 1.570 3.181
Os -1.359 2.354 0.000
Os 2.719 0.000 0.000
Os 1.359 2.354 0.000
```

Values from the calculation:
* symmetry: No. 191
* ΔH_f (0 K): 153 meV/atom
* E above lowest polymorph: 0 meV/atom

No. 9
DFT (PBE) results for a relaxed Dy3Er5Tm2 crystal.

Cell and atoms, written as extended XYZ:
```
20
Lattice="5.276 -7.767 0.000 5.276 7.767 0.000 -5.259 0.000 7.727" Properties=species:S:1:pos:R:3 pbc="T T T"
Dy 1.290 1.899 0.354
Dy 1.331 4.158 5.795
Dy -1.340 -1.899 4.218
Dy 6.632 1.899 3.509
Dy 3.961 -4.158 1.932
Dy 4.002 -1.899 7.373
Er 1.331 7.331 5.795
Er -1.296 1.741 5.901
Er 3.961 3.564 1.932
Er 1.333 -1.741 2.037
Er 3.961 0.462 1.932
Er 1.331 -0.462 5.795
Er 3.959 1.741 5.690
Er 1.331 -3.564 5.795
Er 6.589 -1.741 1.826
Er 3.961 -7.331 1.932
Tm 1.294 1.851 3.491
Tm -1.336 -1.851 7.354
Tm 6.628 1.851 0.373
Tm 3.999 -1.851 4.236
```

Values from the calculation:
* symmetry: No. 15
* ΔH_f (0 K): 204 meV/atom
* E above lowest polymorph: 0 meV/atom

No. 10
DFT (PBE) results for a relaxed Tm5Sn2Bi2 crystal.

Cell and atoms, written as extended XYZ:
```
18
Lattice="-8.781 3.823 4.086 8.781 -3.823 4.086 8.781 3.823 -4.086" Properties=species:S:1:pos:R:3 pbc="T T T"
Tm 1.162 1.594 0.000
Tm 7.620 1.594 0.000
Tm 2.731 -1.036 2.992
Tm 6.050 -1.036 2.992
Tm 2.731 4.859 -1.094
Tm 6.050 4.859 -1.094
Tm 4.391 2.281 1.975
Tm 1.162 2.229 4.086
Tm 7.620 2.229 4.086
Tm 4.391 1.542 6.061
Sn 4.391 -0.289 0.397
Sn 13.172 0.289 0.397
Sn 0.000 0.000 2.236
Sn 8.781 0.000 2.236
Bi -1.690 3.517 1.690
Bi 1.690 -0.305 5.776
Bi 1.690 4.128 1.690
Bi 7.091 4.128 1.690
```

Values from the calculation:
* symmetry: No. 46
* ΔH_f (0 K): -428 meV/atom
* E above lowest polymorph: 306 meV/atom

No. 11
DFT (PBE) results for a relaxed CaPmPrRu crystal.

Cell and atoms, written as extended XYZ:
```
4
Lattice="0.000 3.746 3.746 3.746 0.000 3.746 3.746 3.746 0.000" Properties=species:S:1:pos:R:3 pbc="T T T"
Ca 0.000 0.000 0.000
Pm 5.619 5.619 5.619
Pr 1.873 1.873 1.873
Ru 3.746 3.746 3.746
```

Values from the calculation:
* symmetry: No. 216
* ΔH_f (0 K): 139 meV/atom

No. 12
DFT (PBE) results for a relaxed TiSCl6O crystal.

Cell and atoms, written as extended XYZ:
```
18
Lattice="6.884 0.000 0.000 2.838 7.603 0.000 2.342 3.371 10.791" Properties=species:S:1:pos:R:3 pbc="T T T"
Ti 3.057 4.429 3.860
Ti 9.006 6.544 6.930
S 4.727 4.433 8.561
S 7.336 6.541 2.229
Cl 3.534 6.628 4.899
Cl 1.942 2.660 3.084
Cl 4.592 5.225 10.483
Cl 6.386 10.349 8.823
Cl 4.009 5.161 1.973
Cl 4.789 3.421 4.758
Cl 7.274 7.553 6.033
Cl 8.054 5.813 8.818
Cl 5.677 0.625 1.968
Cl 7.472 5.749 0.308
Cl 10.121 8.314 7.707
Cl 8.529 4.345 5.891
O 4.024 5.343 7.655
O 8.040 5.630 3.136
```

Values from the calculation:
* symmetry: No. 2
* E_form (uncorrected): -26.0 kcal/mol of atoms
* E above lowest polymorph: 0 meV/atom

No. 13
DFT (PBE) results for a relaxed CdHg6Pd12 crystal.

Cell and atoms, written as extended XYZ:
```
19
Lattice="5.603 3.235 3.148 -5.603 3.235 3.148 0.000 -6.470 3.148" Properties=species:S:1:pos:R:3 pbc="T T T"
Cd 0.000 0.000 0.000
Hg -0.010 -1.728 2.452
Hg -1.491 0.873 2.452
Hg 1.501 0.855 2.452
Hg -1.501 -0.855 6.992
Hg 1.491 -0.873 6.992
Hg 0.010 1.728 6.992
Pd -4.162 0.750 3.151
Pd -2.275 -1.303 4.292
Pd 1.431 -3.979 3.151
Pd -2.730 -3.229 6.293
Pd -0.009 -2.622 5.152
Pd -2.266 1.319 5.152
Pd 2.266 -1.319 4.292
Pd 0.009 2.622 4.292
Pd 2.730 3.229 3.151
Pd -1.431 3.979 6.293
Pd 2.275 1.303 5.152
Pd 4.162 -0.750 6.293
```

Values from the calculation:
* symmetry: No. 148
* ΔH_f (0 K): -44 meV/atom

No. 14
DFT (PBE) results for a relaxed Cs2SmPa3O12 crystal.

Cell and atoms, written as extended XYZ:
```
18
Lattice="4.136 2.388 6.560 -4.136 2.388 6.560 0.000 -4.776 6.560" Properties=species:S:1:pos:R:3 pbc="T T T"
Cs 0.000 0.000 2.606
Cs 0.000 0.000 17.075
Sm 0.000 0.000 9.840
Pa -2.068 -1.194 6.560
Pa -2.068 1.194 13.120
Pa 0.000 2.388 6.560
O -1.675 -0.967 8.557
O 0.000 -1.778 6.179
O -1.539 0.889 6.179
O 0.000 -1.935 11.124
O -1.675 0.967 11.124
O -1.539 -0.889 13.502
O 1.539 0.889 6.179
O 1.675 -0.967 8.557
O 0.000 1.935 8.557
O 1.539 -0.889 13.502
O 0.000 1.778 13.502
O 1.675 0.967 11.124
```

Values from the calculation:
* symmetry: No. 166
* E_form (uncorrected): -62.3 kcal/mol of atoms

No. 15
DFT (PBE) results for a relaxed DyY2HoTm crystal.

Cell and atoms, written as extended XYZ:
```
10
Lattice="4.166 -5.674 0.000 4.166 5.674 0.000 0.000 0.000 7.210" Properties=species:S:1:pos:R:3 pbc="T T T"
Dy 4.166 3.105 5.408
Dy 4.166 -3.105 1.803
Y 1.603 0.000 0.000
Y 1.603 0.000 3.605
Y 6.729 0.000 0.000
Y 6.729 0.000 3.605
Ho 4.166 3.113 1.803
Ho 4.166 -3.113 5.408
Tm 4.166 -0.001 1.803
Tm 4.166 0.001 5.408
```

Values from the calculation:
* symmetry: No. 63
* ΔH_f (0 K): 408 meV/atom

No. 16
DFT (PBE) results for a relaxed AcGa2CuPt crystal.

Cell and atoms, written as extended XYZ:
```
5
Lattice="-2.241 2.241 5.130 2.241 -2.241 5.130 2.241 2.241 -5.130" Properties=species:S:1:pos:R:3 pbc="T T T"
Ac 0.000 0.000 0.000
Ga 0.000 0.000 3.768
Ga 0.000 0.000 6.492
Cu 0.000 2.241 2.565
Pt 2.241 0.000 2.565
```

Values from the calculation:
* symmetry: No. 119
* ΔH_f (0 K): -643 meV/atom

No. 17
DFT (PBE) results for a relaxed PrSm3As4 crystal.

Cell and atoms, written as extended XYZ:
```
8
Lattice="5.992 0.000 0.000 0.000 5.992 0.000 0.000 0.000 5.992" Properties=species:S:1:pos:R:3 pbc="T T T"
Pr 0.000 0.000 0.000
Sm 0.000 2.996 2.996
Sm 2.996 0.000 2.996
Sm 2.996 2.996 0.000
As 0.000 0.000 2.996
As 0.000 2.996 0.000
As 2.996 0.000 0.000
As 2.996 2.996 2.996
```

Values from the calculation:
* symmetry: No. 221
* ΔH_f (0 K): -1521 meV/atom

No. 18
DFT (PBE) results for a relaxed AcPrNdDy crystal.

Cell and atoms, written as extended XYZ:
```
4
Lattice="-2.638 2.638 5.303 2.638 -2.638 5.303 2.638 2.638 -5.303" Properties=species:S:1:pos:R:3 pbc="T T T"
Ac 0.000 0.000 0.000
Pr 0.000 2.638 2.652
Nd 2.638 0.000 2.652
Dy 0.000 0.000 5.303
```

Values from the calculation:
* symmetry: No. 119
* ΔH_f (0 K): 44 meV/atom
* E above lowest polymorph: 0 meV/atom

No. 19
DFT (PBE) results for a relaxed Mg2SiAg crystal.

Cell and atoms, written as extended XYZ:
```
4
Lattice="-1.665 2.284 4.941 1.665 -2.284 4.941 1.665 2.284 -4.941" Properties=species:S:1:pos:R:3 pbc="T T T"
Mg 0.000 0.000 0.000
Mg 0.000 2.284 2.171
Si 1.665 0.000 2.414
Ag 0.000 0.000 4.547
```

Values from the calculation:
* symmetry: No. 44
* E_form (uncorrected): 0.2 kcal/mol of atoms

No. 20
DFT (PBE) results for a relaxed As2SeCl crystal.

Cell and atoms, written as extended XYZ:
```
4
Lattice="3.401 0.000 0.000 0.000 4.210 0.000 0.000 0.000 5.994" Properties=species:S:1:pos:R:3 pbc="T T T"
As 0.000 0.000 0.000
As 1.701 0.000 2.997
Se 0.000 2.105 2.997
Cl 1.701 2.105 0.000
```

Values from the calculation:
* symmetry: No. 47
* E_form (uncorrected): 8.9 kcal/mol of atoms
* E above lowest polymorph: 518 meV/atom

No. 21
DFT (PBE) results for a relaxed CuB4 crystal.

Cell and atoms, written as extended XYZ:
```
5
Lattice="3.802 0.000 0.000 0.000 3.802 0.000 0.000 0.000 3.802" Properties=species:S:1:pos:R:3 pbc="T T T"
Cu 0.000 0.000 0.000
B 0.000 0.000 1.901
B 0.000 1.901 0.000
B 1.901 0.000 0.000
B 1.901 1.901 1.901
```

Values from the calculation:
* symmetry: No. 221
* ΔH_f (0 K): 2252 meV/atom

No. 22
DFT (PBE) results for a relaxed FePRu2 crystal.

Cell and atoms, written as extended XYZ:
```
4
Lattice="1.406 0.812 7.777 -1.406 0.812 7.777 0.000 -1.623 7.777" Properties=species:S:1:pos:R:3 pbc="T T T"
Fe 0.000 0.000 0.000
P 0.000 0.000 11.665
Ru 0.000 0.000 5.664
Ru 0.000 0.000 17.666
```

Values from the calculation:
* symmetry: No. 166
* ΔH_f (0 K): -16 meV/atom

No. 23
DFT (PBE) results for a relaxed NiPtRh2 crystal.

Cell and atoms, written as extended XYZ:
```
4
Lattice="2.703 0.000 0.000 0.000 4.554 0.000 0.000 0.000 4.597" Properties=species:S:1:pos:R:3 pbc="T T T"
Ni 0.000 0.000 0.000
Pt 1.352 2.277 0.000
Rh 0.000 2.277 2.298
Rh 1.352 0.000 2.298
```

Values from the calculation:
* symmetry: No. 47
* ΔH_f (0 K): 137 meV/atom